--- A ---
Here is a relaxed structure of Cd2OsW from the Alexandria database. Energies are from PBE-GGA.

Density: 14.271 g/cm³
M_tot: 0.00 μB/f.u.

```
8
Lattice="5.483 0.000 0.000 0.000 9.761 0.000 -0.938 0.000 2.604" Properties=species:S:1:pos:R:3 pbc="T T T"
Cd 1.371 2.440 0.000
Cd 1.371 7.321 0.000
Cd 4.112 2.440 0.000
Cd 4.112 7.321 0.000
Os -0.469 0.000 1.302
Os 2.272 4.881 1.302
W -0.469 4.881 1.302
W 2.272 0.000 1.302
```

---

--- B ---
Here is a relaxed structure of Cd2OsW from the Alexandria database. Energies are from PBE-GGA.

Density: 14.210 g/cm³
M_tot: 0.00 μB/f.u.

```
4
Lattice="2.766 0.000 0.000 0.000 2.766 0.000 0.000 0.000 9.145" Properties=species:S:1:pos:R:3 pbc="T T T"
Cd 0.000 0.000 2.233
Cd 0.000 0.000 6.912
Os 1.383 1.383 0.000
W 1.383 1.383 4.572
```

---

--- C ---
Here is a relaxed structure of Cd2OsW from the Alexandria database. Energies are from PBE-GGA.

Density: 13.796 g/cm³
M_tot: 0.00 μB/f.u.

```
12
Lattice="2.870 0.000 0.000 -1.435 2.485 0.000 0.000 0.000 30.326" Properties=species:S:1:pos:R:3 pbc="T T T"
Cd 0.000 0.000 0.000
Cd 0.000 0.000 7.175
Cd 0.000 1.657 20.217
Cd 0.000 1.657 27.392
Cd 1.435 0.828 10.109
Cd 1.435 0.828 17.283
Os 0.000 0.000 14.756
Os 0.000 1.657 4.648
Os 1.435 0.828 24.865
W 0.000 0.000 22.804
W 0.000 1.657 12.696
W 1.435 0.828 2.587
```

---

Which one sits at the top of the stability order? C does.

---

--- A ---
Here is a relaxed structure of ZnCdOs3 from the Alexandria database. Energies are from PBE-GGA.

Density: 13.361 g/cm³
M_tot: 2.36 μB/f.u.

```
5
Lattice="4.531 0.000 0.000 0.000 4.531 0.000 0.000 0.000 4.531" Properties=species:S:1:pos:R:3 pbc="T T T"
Zn 0.000 0.000 0.000
Cd 2.266 2.266 2.266
Os 0.000 0.000 2.266
Os 0.000 2.266 0.000
Os 2.266 0.000 0.000
```

---

--- B ---
Here is a relaxed structure of ZnCdOs3 from the Alexandria database. Energies are from PBE-GGA.

Density: 10.923 g/cm³
M_tot: 5.21 μB/f.u.

```
5
Lattice="4.846 0.000 0.000 0.000 4.846 0.000 0.000 0.000 4.846" Properties=species:S:1:pos:R:3 pbc="T T T"
Zn 0.000 0.000 0.000
Cd 2.423 2.423 2.423
Os 0.000 2.423 2.423
Os 2.423 0.000 2.423
Os 2.423 2.423 0.000
```

---

Which one sits at the top of the stability order? A does.